(1)
Crystalline NbGaAs2 at its relaxed geometry. Source: the Alexandria database, functional PBE.

a = 3.520 Å, b = 3.520 Å, c = 7.652 Å
α = 77.31°, β = 77.31°, γ = 60.20°
Sites, in units of the cell vectors:
Nb1 0.667 0.667 0.000
Ga1 0.500 0.500 0.500
As1 0.074 0.074 0.771
As2 0.259 0.259 0.230

Computed properties:
SG: Cm (8)
Calculated volume, Å³ per cell: 80
ΔE_f, eV/atom: -0.198

=====

(2)
Crystalline Hf3TcRh at its relaxed geometry. Source: the Alexandria database, functional PBE.

a = 4.873 Å, b = 4.873 Å, c = 4.873 Å
α = 90.00°, β = 90.00°, γ = 90.00°
Site moments in Bohr magnetons follow the coordinates.
Sites, in units of the cell vectors:
Rh1 0.000 0.000 0.000  0.00
Hf1 0.000 0.500 0.000  -0.03
Hf2 0.000 0.000 0.500  -0.01
Hf3 0.500 0.000 0.000  -0.05
Tc1 0.500 0.500 0.500  0.23

Computed properties:
SG: Pm-3m (221)
Excess energy over the best structure of this formula in the dataset, meV/atom: 60.2
Calculated volume, Å³ per cell: 116
ΔE_f, eV/atom: 0.668

=====

(3)
Crystalline LiCrAgGe at its relaxed geometry. Source: the Alexandria database, functional PBE.

a = 4.438 Å, b = 4.438 Å, c = 4.438 Å
α = 60.00°, β = 60.00°, γ = 60.00°
Site moments in Bohr magnetons follow the coordinates.
Sites, in units of the cell vectors:
Cr1 0.250 0.250 0.250  3.23
Ge1 0.000 0.000 0.000  -0.14
Ag1 0.500 0.500 0.500  0.04
Li1 0.750 0.750 0.750  -0.02

Computed properties:
SG: F-43m (216)
Calculated volume, Å³ per cell: 62
ΔE_f, eV/atom: 0.013

=====

(4)
Crystalline TlGaPt2 at its relaxed geometry. Source: the Alexandria database, functional PBE.

a = 4.639 Å, b = 4.639 Å, c = 4.639 Å
α = 60.00°, β = 60.00°, γ = 60.00°
Sites, in units of the cell vectors:
Tl1 0.500 0.500 0.500
Ga1 0.000 0.000 0.000
Pt1 0.250 0.250 0.250
Pt2 0.750 0.750 0.750

Computed properties:
SG: Fm-3m (225)
Calculated volume, Å³ per cell: 71
ΔE_f, eV/atom: -0.090

=====

(5)
Crystalline KTc2Cl at its relaxed geometry. Source: the Alexandria database, functional PBE.

a = 9.974 Å, b = 9.974 Å, c = 9.974 Å
α = 16.80°, β = 16.80°, γ = 16.80°
Sites, in units of the cell vectors:
K1 0.750 0.750 0.750
Tc1 0.982 0.982 0.982
Tc2 0.518 0.518 0.518
Cl1 0.250 0.250 0.250

Computed properties:
Uncorrected formation energy, eV per atom: 1.087
SG: R-3m (166)
Excess energy over the best structure of this formula in the dataset, meV/atom: 1036.0
Calculated volume, Å³ per cell: 72

=====

(6)
Crystalline GdVTcRu at its relaxed geometry. Source: the Alexandria database, functional PBE.

a = 4.548 Å, b = 4.548 Å, c = 4.548 Å
α = 60.00°, β = 60.00°, γ = 60.00°
Site moments in Bohr magnetons follow the coordinates.
Sites, in units of the cell vectors:
Ru1 0.500 0.500 0.500  -0.14
Gd1 0.250 0.250 0.250  6.99
Tc1 0.000 0.000 0.000  -0.22
V1 0.750 0.750 0.750  0.57

Computed properties:
SG: F-43m (216)
Calculated volume, Å³ per cell: 67
ΔE_f, eV/atom: 0.009

=====

(7)
Crystalline Ce2MgZn at its relaxed geometry. Source: the Alexandria database, functional PBE.

a = 4.927 Å, b = 4.319 Å, c = 4.319 Å
α = 90.00°, β = 90.00°, γ = 90.00°
Sites, in units of the cell vectors:
Zn1 0.500 0.000 0.000
Mg1 0.500 0.500 0.500
Ce1 0.000 0.000 0.500
Ce2 0.000 0.500 0.000

Computed properties:
SG: P4/mmm (123)
Excess energy over the best structure of this formula in the dataset, meV/atom: 0.0
Calculated volume, Å³ per cell: 92
ΔE_f, eV/atom: -0.069

=====

(8)
Crystalline AlV3Cd at its relaxed geometry. Source: the Alexandria database, functional PBE.

a = 4.824 Å, b = 4.824 Å, c = 4.824 Å
α = 90.00°, β = 90.00°, γ = 90.00°
Site moments in Bohr magnetons follow the coordinates.
Sites, in units of the cell vectors:
V1 0.000 0.500 0.000  1.62
V2 0.000 0.000 0.500  1.62
V3 0.500 0.000 0.000  1.62
Al1 0.500 0.500 0.500  -0.08
Cd1 0.000 0.000 0.000  0.04

Computed properties:
SG: Pm-3m (221)
Excess energy over the best structure of this formula in the dataset, meV/atom: 647.4
Calculated volume, Å³ per cell: 112
ΔE_f, eV/atom: 1.773

=====

> Which of these has the highest calculated volume?

Hf3TcRh

=====

> Which of these has the highest calculated volume?

Hf3TcRh

=====

> Look up the calculated volume of the seventh one.

92 Å³ per cell